Cu2HgBi2 (PBE, optimized geometry); total magnetic moment = 0.000 μB/cell; SG = I4/mmm, No. 139; energy above the most stable polymorph in this dataset = 0.218 eV per atom; density of states at the Fermi level = 0.53 states/eV/atom; E_form = 0.331 eV per atom
1.0
5.0950 0.0000 0.0000
0.0000 5.0950 0.0000
2.5475 2.5475 4.7300
Bi Cu Hg
2 2 1
direct
0.7500 0.2500 0.5000 Bi
0.2500 0.7500 0.5000 Bi
0.3701 0.3701 0.2598 Cu
0.6299 0.6299 0.7402 Cu
0.0000 0.0000 0.0000 Hg